VASP calculation (PBE) on a relaxed GaSb2Te4 crystal.

Lattice parameters (Å, degrees): 7.491 7.785 8.431 90.00 106.46 90.00
Space group P2_1/m (No. 11)
One atom of each set of equivalent atoms:
Ga  0.236  0.250  0.310
Sb  0.158  0.750  0.057
Sb  0.272  0.750  0.553
Te  0.011  0.010  0.754
Te  0.457  0.250  0.622
Te  0.464  0.250  0.124

Output
Formation energy from raw total energies, eV/atom: -0.036
Density of states at the Fermi level, states/eV/f.u.: 2.52

VASP calculation (PBE) on a relaxed RbBe2Nb crystal.

Lattice parameters (Å, degrees): 6.778 6.778 6.778 90.00 90.00 90.00
Space group Fm-3m (No. 225)
One atom of each set of equivalent atoms:
Rb  0.000  0.000  0.000
Be  0.250  0.250  0.250
Nb  0.000  0.000  0.500

Output
Formation energy, eV/f.u.: 6.43
Density of states at the Fermi level, states/eV/f.u.: 2.94

VASP calculation (PBE) on a relaxed Rb7NaO2 crystal.

Lattice parameters (Å, degrees): 8.550 21.503 5.565 90.00 90.00 90.00
Space group Cmmm (No. 65)
One atom of each set of equivalent atoms:
Rb  0.000  0.000  0.000
Rb  0.000  0.215  0.500
Rb  0.217  0.333  0.000
Na  0.000  0.500  0.500
O  0.000  0.237  0.000

Output
Formation energy from raw total energies, eV/atom: -0.512
Density of states at the Fermi level, states/eV/f.u.: 3.95

VASP calculation (PBE) on a relaxed TiMn3Bi crystal.

Lattice parameters (Å, degrees): 5.006 5.006 5.006 90.00 90.00 90.00
Space group Pm-3m (No. 221)
One atom of each set of equivalent atoms:
Ti  0.000  0.000  0.000
Mn  0.000  0.500  0.500
Bi  0.500  0.500  0.500

Output
Formation energy, eV/f.u.: 6.78
Density of states at the Fermi level, states/eV/f.u.: 2.61

VASP calculation (PBE) on a relaxed NpCo2Ge2P crystal.

Lattice parameters (Å, degrees): 4.214 4.214 5.400 90.00 90.00 90.00
Space group P4/mmm (No. 123)
One atom of each set of equivalent atoms:
Np  0.000  0.000  0.000
Co  0.000  0.500  0.500
Ge  0.500  0.500  0.232
P  0.000  0.000  0.500

Output
Formation energy, eV/f.u.: -1.34
Density of states at the Fermi level, states/eV/f.u.: 9.95

VASP calculation (PBE) on a relaxed KUCuS4 crystal.

Lattice parameters (Å, degrees): 6.276 6.158 8.859 90.00 109.09 90.00
Space group P2_1/m (No. 11)
One atom of each set of equivalent atoms:
K  0.248  0.250  0.451
U  0.255  0.250  0.943
Cu  0.275  0.750  0.159
S  0.037  0.750  0.908
S  0.067  0.750  0.324
S  0.467  0.518  0.804

Output
Formation energy from raw total energies, eV/atom: -1.005
Density of states at the Fermi level, states/eV/f.u.: 2.46